# 1
## NiB4Mo (GGA-PBE)

Data for an optimized crystal structure of NiB4Mo. Values from VASP.

Its space-group type is Immm. The calculation puts the energy above the most stable polymorph in this dataset at 0.030 eV per atom.

```
&SYSTEM
  ibrav = 0, nat = 6, ntyp = 3
/
ATOMIC_SPECIES
Ni 58.69 Ni.upf
B 10.81 B.upf
Mo 95.94 Mo.upf
ATOMIC_POSITIONS angstrom
Ni 0.000 0.000 0.000
B 1.494 -0.891 1.614
B 1.494 0.891 1.614
B 0.000 1.748 1.606
B 0.000 3.530 1.606
Mo 0.000 0.000 3.220
CELL_PARAMETERS angstrom
-1.494 2.639 3.220
1.494 -2.639 3.220
1.494 2.639 -3.220
```

=====

# 2
## NiBMo2 (GGA-PBE)

Data for an optimized crystal structure of NiBMo2. Values from VASP.

Its space-group type is P6_3/mmc. The calculation puts the energy above the most stable polymorph in this dataset at 0.000 eV per atom.

```
&SYSTEM
  ibrav = 0, nat = 8, ntyp = 3
/
ATOMIC_SPECIES
Ni 58.69 Ni.upf
B 10.81 B.upf
Mo 95.94 Mo.upf
ATOMIC_POSITIONS angstrom
Ni 0.000 1.770 3.180
Ni 1.533 0.885 9.541
B 0.000 0.000 0.000
B 0.000 0.000 6.361
Mo 0.000 1.770 7.576
Mo 0.000 1.770 11.506
Mo 1.533 0.885 1.216
Mo 1.533 0.885 5.145
CELL_PARAMETERS angstrom
3.065 0.000 0.000
-1.533 2.655 0.000
0.000 0.000 12.721
```

=====

# 3
## Ni2BMo (GGA-PBE)

Data for an optimized crystal structure of Ni2BMo. Values from VASP.

Its space-group type is F-43m. The value obtained for the energy is -28.11 eV/cell.

```
&SYSTEM
  ibrav = 0, nat = 4, ntyp = 3
/
ATOMIC_SPECIES
Ni 58.69 Ni.upf
B 10.81 B.upf
Mo 95.94 Mo.upf
ATOMIC_POSITIONS angstrom
Ni 0.000 0.000 0.000
Ni 1.397 1.397 1.397
B 4.190 4.190 4.190
Mo 2.793 2.793 2.793
CELL_PARAMETERS angstrom
0.000 2.793 2.793
2.793 0.000 2.793
2.793 2.793 0.000
```

=====

# 4
## NiBMo2 (GGA-PBE)

Data for an optimized crystal structure of NiBMo2. Values from VASP.

Its space-group type is F-43m. The calculation puts the energy above the most stable polymorph in this dataset at 0.556 eV per atom.

```
&SYSTEM
  ibrav = 0, nat = 4, ntyp = 3
/
ATOMIC_SPECIES
Ni 58.69 Ni.upf
B 10.81 B.upf
Mo 95.94 Mo.upf
ATOMIC_POSITIONS angstrom
Ni 0.000 0.000 0.000
B 1.469 1.469 1.469
Mo 2.938 2.938 2.938
Mo 4.407 4.407 4.407
CELL_PARAMETERS angstrom
0.000 2.938 2.938
2.938 0.000 2.938
2.938 2.938 0.000
```

=====

# 5
## NiB2Mo3 (GGA-PBE)

Data for an optimized crystal structure of NiB2Mo3. Values from VASP.

Its space-group type is P6_3/mmc. The value obtained for the energy is -103.59 eV/cell.

```
&SYSTEM
  ibrav = 0, nat = 12, ntyp = 3
/
ATOMIC_SPECIES
Ni 58.69 Ni.upf
B 10.81 B.upf
Mo 95.94 Mo.upf
ATOMIC_POSITIONS angstrom
Ni 0.000 0.000 4.475
Ni 0.000 0.000 13.425
B 0.000 1.786 1.337
B 0.000 1.786 7.613
B 1.546 0.893 10.287
B 1.546 0.893 16.563
Mo 0.000 0.000 0.000
Mo 0.000 0.000 8.950
Mo 0.000 1.786 11.476
Mo 0.000 1.786 15.375
Mo 1.546 0.893 2.525
Mo 1.546 0.893 6.425
CELL_PARAMETERS angstrom
3.093 0.000 0.000
-1.546 2.679 0.000
0.000 0.000 17.900
```

=====

# 6
## NiBMoOs (GGA-PBE)

Data for an optimized crystal structure of NiBMoOs. Values from VASP.

Its space-group type is F-43m. The calculation puts the energy above the most stable polymorph in this dataset at 0.000 eV per atom.

```
&SYSTEM
  ibrav = 0, nat = 4, ntyp = 4
/
ATOMIC_SPECIES
Ni 58.69 Ni.upf
B 10.81 B.upf
Mo 95.94 Mo.upf
Os 190.23 Os.upf
ATOMIC_POSITIONS angstrom
Ni 0.000 0.000 0.000
B 2.860 2.860 2.860
Mo 4.290 4.290 4.290
Os 1.430 1.430 1.430
CELL_PARAMETERS angstrom
0.000 2.860 2.860
2.860 0.000 2.860
2.860 2.860 0.000
```

=====

# 7
## NiBMoOs (GGA-PBE)

Data for an optimized crystal structure of NiBMoOs. Values from VASP.

Its space-group type is F-43m. The calculation puts the energy above the most stable polymorph in this dataset at 0.327 eV per atom.

```
&SYSTEM
  ibrav = 0, nat = 4, ntyp = 4
/
ATOMIC_SPECIES
Ni 58.69 Ni.upf
B 10.81 B.upf
Mo 95.94 Mo.upf
Os 190.23 Os.upf
ATOMIC_POSITIONS angstrom
Ni 0.000 0.000 0.000
B 4.376 4.376 4.376
Mo 2.918 2.918 2.918
Os 1.459 1.459 1.459
CELL_PARAMETERS angstrom
0.000 2.918 2.918
2.918 0.000 2.918
2.918 2.918 0.000
```

=====

# 8
## NiBMoPd (GGA-PBE)

Data for an optimized crystal structure of NiBMoPd. Values from VASP.

Its space-group type is F-43m. The calculation puts the energy above the most stable polymorph in this dataset at 0.000 eV per atom.

```
&SYSTEM
  ibrav = 0, nat = 4, ntyp = 4
/
ATOMIC_SPECIES
Ni 58.69 Ni.upf
B 10.81 B.upf
Mo 95.94 Mo.upf
Pd 106.42 Pd.upf
ATOMIC_POSITIONS angstrom
Ni 0.000 0.000 0.000
B 2.879 2.879 2.879
Mo 4.318 4.318 4.318
Pd 1.439 1.439 1.439
CELL_PARAMETERS angstrom
0.000 2.879 2.879
2.879 0.000 2.879
2.879 2.879 0.000
```

=====

# 9
## NiBMoPd (GGA-PBE)

Data for an optimized crystal structure of NiBMoPd. Values from VASP.

Its space-group type is F-43m. The calculation puts the energy above the most stable polymorph in this dataset at 0.180 eV per atom.

```
&SYSTEM
  ibrav = 0, nat = 4, ntyp = 4
/
ATOMIC_SPECIES
Ni 58.69 Ni.upf
B 10.81 B.upf
Mo 95.94 Mo.upf
Pd 106.42 Pd.upf
ATOMIC_POSITIONS angstrom
Ni 0.000 0.000 0.000
B 4.360 4.360 4.360
Mo 2.907 2.907 2.907
Pd 1.453 1.453 1.453
CELL_PARAMETERS angstrom
0.000 2.907 2.907
2.907 0.000 2.907
2.907 2.907 0.000
```

=====

# 10
## NiBMoPt (GGA-PBE)

Data for an optimized crystal structure of NiBMoPt. Values from VASP.

Its space-group type is F-43m. The calculation puts the energy above the most stable polymorph in this dataset at 0.446 eV per atom.

```
&SYSTEM
  ibrav = 0, nat = 4, ntyp = 4
/
ATOMIC_SPECIES
Ni 58.69 Ni.upf
B 10.81 B.upf
Mo 95.94 Mo.upf
Pt 195.08 Pt.upf
ATOMIC_POSITIONS angstrom
Ni 0.000 0.000 0.000
B 4.425 4.425 4.425
Mo 1.475 1.475 1.475
Pt 2.950 2.950 2.950
CELL_PARAMETERS angstrom
0.000 2.950 2.950
2.950 0.000 2.950
2.950 2.950 0.000
```

=====

# 11
## NiBMoPt (GGA-PBE)

Data for an optimized crystal structure of NiBMoPt. Values from VASP.

Its space-group type is F-43m. The calculation puts the energy above the most stable polymorph in this dataset at 0.185 eV per atom.

```
&SYSTEM
  ibrav = 0, nat = 4, ntyp = 4
/
ATOMIC_SPECIES
Ni 58.69 Ni.upf
B 10.81 B.upf
Mo 95.94 Mo.upf
Pt 195.08 Pt.upf
ATOMIC_POSITIONS angstrom
Ni 0.000 0.000 0.000
B 4.404 4.404 4.404
Mo 2.936 2.936 2.936
Pt 1.468 1.468 1.468
CELL_PARAMETERS angstrom
0.000 2.936 2.936
2.936 0.000 2.936
2.936 2.936 0.000
```

=====

# 12
## NiBMoPt (GGA-PBE)

Data for an optimized crystal structure of NiBMoPt. Values from VASP.

Its space-group type is F-43m. The calculation puts the energy above the most stable polymorph in this dataset at 0.000 eV per atom.

```
&SYSTEM
  ibrav = 0, nat = 4, ntyp = 4
/
ATOMIC_SPECIES
Ni 58.69 Ni.upf
B 10.81 B.upf
Mo 95.94 Mo.upf
Pt 195.08 Pt.upf
ATOMIC_POSITIONS angstrom
Ni 0.000 0.000 0.000
B 2.883 2.883 2.883
Mo 4.324 4.324 4.324
Pt 1.441 1.441 1.441
CELL_PARAMETERS angstrom
0.000 2.883 2.883
2.883 0.000 2.883
2.883 2.883 0.000
```